[1]
Entry from Alexandria: an optimized crystal structure of Cu5Pt7 (PBE).

Calculated values
Crystal system: triclinic
Total magnetization (Bohr magnetons per cell): 0.00
D(E_F) (states/eV per cell): 13.21
Offset from the most stable computed form (eV/atom): 0.023
Density (g/cm³): 16.257
Symmetry: No. 2

abc: 6.0926 6.0802 5.4546
angles: 116.27 103.11 72.72
Last column: nearest neighbours and their distance in Å.
Fractional positions:
Cu 0.6678 0.8321 0.0830  8 Pt 2.69-2.75, 4 Cu 2.71-2.75
Cu 0.6684 0.3335 0.8326  8 Pt 2.67-2.75, 4 Cu 2.71-2.73
Cu 0.3333 0.1667 0.4167  8 Pt 2.72-2.74, 4 Cu 2.73-2.75
Cu 0.9989 0.5012 0.7503  8 Pt 2.69-2.75, 4 Cu 2.71-2.75
Cu 0.9983 0.9998 0.0008  8 Pt 2.67-2.75, 4 Cu 2.71-2.73
Pt 0.6712 0.8372 0.5914  6 Cu 2.67-2.75, 6 Pt 2.71-2.79
Pt 0.9955 0.4961 0.2420  6 Cu 2.67-2.75, 6 Pt 2.71-2.79
Pt 0.9967 0.0075 0.5027  6 Pt 2.66-2.79, 6 Cu 2.69-2.74
Pt 0.6700 0.3258 0.3306  6 Pt 2.66-2.79, 6 Cu 2.69-2.74
Pt 0.3319 0.6691 0.1625  7 Pt 2.67-2.78, 5 Cu 2.70-2.75
Pt 0.3347 0.6642 0.6709  7 Pt 2.67-2.78, 5 Cu 2.70-2.75
Pt 0.3333 0.1667 0.9167  6 Pt 2.72-2.74, 6 Cu 2.73

[2]
Entry from Alexandria: an optimized crystal structure of Cu24Pt5 (PBE).

Calculated values
Crystal system: cubic
Total magnetization (Bohr magnetons per cell): 0.00
D(E_F) (states/eV per cell): 13.25
Density (g/cm³): 11.345
Symmetry: No. 217

abc: 7.8049 7.8049 7.8049
angles: 109.47 109.47 109.47
Last column: nearest neighbours and their distance in Å.
Fractional positions:
Cu 0.6788 0.6788 0.2766  7 Cu 2.39-2.65, 1 Pt 2.55
Cu 0.1907 0.1907 0.8144  6 Cu 2.37-2.57
Cu 0.8093 0.6237 0.0000  6 Cu 2.37-2.57
Cu 0.6788 0.2766 0.6788  7 Cu 2.39-2.65, 1 Pt 2.55
Cu 0.0000 0.6237 0.8093  6 Cu 2.37-2.57
Cu 0.5978 0.0000 0.3212  7 Cu 2.39-2.65, 1 Pt 2.55
Cu 0.2766 0.6788 0.6788  7 Cu 2.39-2.65, 1 Pt 2.55
Cu 0.3763 0.3763 0.1856  6 Cu 2.37-2.57
Cu 0.0000 0.3212 0.5978  7 Cu 2.39-2.65, 1 Pt 2.55
Cu 0.0000 0.5978 0.3212  7 Cu 2.39-2.65, 1 Pt 2.55
Cu 0.0000 0.8093 0.6237  6 Cu 2.37-2.57
Cu 0.6237 0.0000 0.8093  6 Cu 2.37-2.57
Cu 0.1907 0.8144 0.1907  6 Cu 2.37-2.57
Cu 0.3763 0.1856 0.3763  6 Cu 2.37-2.57
Cu 0.1856 0.3763 0.3763  6 Cu 2.37-2.57
Cu 0.6237 0.8093 0.0000  6 Cu 2.37-2.57
Cu 0.7234 0.4022 0.4022  7 Cu 2.39-2.65, 1 Pt 2.55
Cu 0.8093 0.0000 0.6237  6 Cu 2.37-2.57
Cu 0.4022 0.7234 0.4022  7 Cu 2.39-2.65, 1 Pt 2.55
Cu 0.5978 0.3212 0.0000  7 Cu 2.39-2.65, 1 Pt 2.55
Cu 0.3212 0.5978 0.0000  7 Cu 2.39-2.65, 1 Pt 2.55
Cu 0.8144 0.1907 0.1907  6 Cu 2.37-2.57
Cu 0.3212 0.0000 0.5978  7 Cu 2.39-2.65, 1 Pt 2.55
Cu 0.4022 0.4022 0.7234  7 Cu 2.39-2.65, 1 Pt 2.55
Pt 0.0000 0.0000 0.3674  9 Cu 2.55-2.77
Pt 0.3674 0.0000 0.0000  9 Cu 2.55-2.77
Pt 0.6326 0.6326 0.6326  9 Cu 2.55-2.77
Pt 0.0000 0.0000 0.0000  12 Cu 2.82, 4 Pt 2.87
Pt 0.0000 0.3674 0.0000  9 Cu 2.55-2.77

no.,total energy (eV per atom)
1,-5.340
2,-4.482